Entry from Alexandria: crystalline HfGaOs2Br at its relaxed geometry (PBE).

Summary:
* V: 20.8 Å³ per atom
* distance to the lowest polymorph of the same formula: 0 meV/atom
* raw formation energy: 34.84 kcal/mol of atoms
* mass density: 11.32 g cm⁻³

Lattice parameters (Å, degrees): 4.647 4.647 4.812 90.00 90.00 90.00
Fractional coordinates of all 5 atoms:
Hf  0.000  0.000  0.000
Ga  0.500  0.500  0.500
Os  0.000  0.500  0.500
Os  0.500  0.000  0.500
Br  0.500  0.500  0.000

---

Entry from Alexandria: crystalline PrZnSi at its relaxed geometry (PBE).

Summary:
* V: 21.7 Å³ per atom
* raw formation energy: -14.13 kcal/mol of atoms
* mass density: 5.98 g cm⁻³

Lattice parameters (Å, degrees): 4.194 4.278 7.261 90.00 90.00 90.00
Fractional coordinates of all 6 atoms:
Pr  0.000  0.000  0.000
Pr  0.500  0.000  0.500
Zn  0.000  0.500  0.330
Zn  0.000  0.500  0.670
Si  0.500  0.500  0.164
Si  0.500  0.500  0.836

---

Entry from Alexandria: crystalline Pu2CdGa at its relaxed geometry (PBE).

Summary:
* V: 17.7 Å³ per atom
* ΔH_f (0 K): 0.36 eV per atom
* mass density: 15.75 g cm⁻³

Lattice parameters (Å, degrees): 3.657 3.657 5.284 90.00 90.00 90.00
Fractional coordinates of all 4 atoms:
Pu  0.000  0.500  0.000
Pu  0.500  0.000  0.000
Cd  0.000  0.000  0.500
Ga  0.500  0.500  0.500

---

Entry from Alexandria: crystalline BaTl2Ag2Br6 at its relaxed geometry (PBE).

Summary:
* V: 39.0 Å³ per atom
* raw formation energy: -22.74 kcal/mol of atoms
* mass density: 4.80 g cm⁻³

Lattice parameters (Å, degrees): 8.291 8.291 8.084 113.46 113.46 60.46
Fractional coordinates of all 11 atoms:
Ba  0.000  0.000  0.000
Tl  0.239  0.239  0.669
Tl  0.761  0.761  0.331
Ag  0.444  0.444  0.292
Ag  0.556  0.556  0.708
Br  0.180  0.665  0.661
Br  0.242  0.242  0.079
Br  0.335  0.820  0.339
Br  0.665  0.180  0.661
Br  0.758  0.758  0.921
Br  0.820  0.335  0.339

---

Entry from Alexandria: crystalline CdIn2I5 at its relaxed geometry (PBE).

Summary:
* V: 44.9 Å³ per atom
* distance to the lowest polymorph of the same formula: 28 meV/atom
* raw formation energy: -9.74 kcal/mol of atoms
* mass density: 4.52 g cm⁻³

Lattice parameters (Å, degrees): 8.209 8.209 15.051 90.00 90.00 134.92
Fractional coordinates of all 16 atoms:
Cd  0.198  0.802  0.750
Cd  0.802  0.198  0.250
In  0.155  0.845  0.072
In  0.155  0.845  0.428
In  0.845  0.155  0.572
In  0.845  0.155  0.928
I  0.057  0.943  0.615
I  0.057  0.943  0.885
I  0.290  0.710  0.250
I  0.330  0.670  0.594
I  0.330  0.670  0.906
I  0.670  0.330  0.094
I  0.670  0.330  0.406
I  0.710  0.290  0.750
I  0.943  0.057  0.115
I  0.943  0.057  0.385

---

Entry from Alexandria: crystalline Pm12Sm7Ho at its relaxed geometry (PBE).

Summary:
* V: 35.2 Å³ per atom
* distance to the lowest polymorph of the same formula: 56 meV/atom
* ΔH_f (0 K): 0.28 eV per atom
* mass density: 6.97 g cm⁻³

Lattice parameters (Å, degrees): 11.112 11.112 11.112 115.86 115.86 115.86
Fractional coordinates of all 20 atoms:
Pm  0.074  0.288  0.501
Pm  0.204  0.748  0.271
Pm  0.252  0.729  0.796
Pm  0.271  0.204  0.748
Pm  0.288  0.501  0.074
Pm  0.499  0.926  0.712
Pm  0.501  0.074  0.288
Pm  0.712  0.499  0.926
Pm  0.729  0.796  0.252
Pm  0.748  0.271  0.204
Pm  0.796  0.252  0.729
Pm  0.926  0.712  0.499
Sm  0.073  0.377  0.216
Sm  0.216  0.073  0.377
Sm  0.377  0.216  0.073
Sm  0.500  0.500  0.500
Sm  0.623  0.784  0.927
Sm  0.784  0.927  0.623
Sm  0.927  0.623  0.784
Ho  0.000  0.000  0.000

---

Entry from Alexandria: crystalline Cs2BaLi2 at its relaxed geometry (PBE).

Summary:
* V: 61.5 Å³ per atom
* distance to the lowest polymorph of the same formula: 0 meV/atom
* ΔH_f (0 K): 0.21 eV per atom
* mass density: 2.25 g cm⁻³

Lattice parameters (Å, degrees): 9.871 9.871 6.313 90.00 90.00 90.00
Fractional coordinates of all 10 atoms:
Cs  0.173  0.327  0.000
Cs  0.327  0.827  0.000
Cs  0.673  0.173  0.000
Cs  0.827  0.673  0.000
Ba  0.000  0.000  0.500
Ba  0.500  0.500  0.500
Li  0.112  0.612  0.500
Li  0.388  0.112  0.500
Li  0.612  0.888  0.500
Li  0.888  0.388  0.500

---

Entry from Alexandria: crystalline LaY2Ru at its relaxed geometry (PBE).

Summary:
* V: 28.5 Å³ per atom
* distance to the lowest polymorph of the same formula: 23 meV/atom
* ΔH_f (0 K): -0.27 eV per atom
* mass density: 6.09 g cm⁻³

Lattice parameters (Å, degrees): 3.904 9.472 6.462 90.00 107.55 90.00
Fractional coordinates of all 8 atoms:
La  0.079  0.250  0.160
La  0.921  0.750  0.840
Y  0.354  0.072  0.707
Y  0.354  0.428  0.707
Y  0.646  0.572  0.293
Y  0.646  0.928  0.293
Ru  0.261  0.750  0.521
Ru  0.739  0.250  0.479

---

Entry from Alexandria: crystalline BiBTeN2 at its relaxed geometry (PBE).

Summary:
* V: 15.4 Å³ per atom
* distance to the lowest polymorph of the same formula: 0 meV/atom
* raw formation energy: 42.04 kcal/mol of atoms
* mass density: 8.10 g cm⁻³

Lattice parameters (Å, degrees): 4.096 4.096 4.585 90.00 90.00 90.00
Fractional coordinates of all 5 atoms:
Bi  0.000  0.000  0.000
B  0.500  0.500  0.500
Te  0.500  0.500  0.000
N  0.000  0.500  0.500
N  0.500  0.000  0.500

---

Entry from Alexandria: crystalline SiSb2Te at its relaxed geometry (PBE).

Summary:
* V: 25.2 Å³ per atom
* distance to the lowest polymorph of the same formula: 361 meV/atom
* raw formation energy: 10.27 kcal/mol of atoms
* mass density: 6.58 g cm⁻³

Lattice parameters (Å, degrees): 6.374 10.117 3.312 90.00 109.48 90.00
Fractional coordinates of all 8 atoms:
Si  0.000  0.000  0.000
Si  0.500  0.500  0.000
Sb  0.250  0.250  0.500
Sb  0.250  0.750  0.500
Sb  0.750  0.250  0.500
Sb  0.750  0.750  0.500
Te  0.000  0.500  0.000
Te  0.500  0.000  0.000

---

Entry from Alexandria: crystalline Ag5Ir at its relaxed geometry (PBE).

Summary:
* V: 17.2 Å³ per atom
* distance to the lowest polymorph of the same formula: 4 meV/atom
* ΔH_f (0 K): 0.23 eV per atom
* mass density: 11.77 g cm⁻³

Lattice parameters (Å, degrees): 4.812 2.802 15.306 90.00 90.00 90.00
Fractional coordinates of all 12 atoms:
Ag  0.000  0.000  0.000
Ag  0.000  0.000  0.328
Ag  0.000  0.500  0.500
Ag  0.000  0.500  0.828
Ag  0.500  0.000  0.222
Ag  0.500  0.000  0.559
Ag  0.500  0.000  0.892
Ag  0.500  0.500  0.059
Ag  0.500  0.500  0.392
Ag  0.500  0.500  0.722
Ir  0.000  0.000  0.665
Ir  0.000  0.500  0.165

---

Entry from Alexandria: crystalline NaCaRuO4 at its relaxed geometry (PBE).

Summary:
* V: 12.9 Å³ per atom
* raw formation energy: -37.74 kcal/mol of atoms
* mass density: 4.18 g cm⁻³

Lattice parameters (Å, degrees): 3.888 3.888 11.987 90.00 90.00 90.00
Fractional coordinates of all 14 atoms:
Na  0.000  0.000  0.000
Na  0.500  0.500  0.500
Ca  0.000  0.000  0.704
Ca  0.500  0.500  0.204
Ru  0.000  0.000  0.354
Ru  0.500  0.500  0.854
O  0.000  0.000  0.188
O  0.000  0.000  0.514
O  0.000  0.500  0.342
O  0.000  0.500  0.842
O  0.500  0.000  0.342
O  0.500  0.000  0.842
O  0.500  0.500  0.014
O  0.500  0.500  0.688

---

Question: Which value of V does entry 2 give?
Answer: 21.7 Å³ per atom

---

Question: Which formula does entry 9 have?
Answer: BiBTeN2

---

Question: The lowest V belongs to which entry?
Answer: NaCaRuO4